! KSm2Sn3Te6, relaxed, DFT PBE; values from VASP
&SYSTEM
  ibrav = 0, nat = 12, ntyp = 4
/
ATOMIC_SPECIES
K 39.10 K.upf
Sm 150.36 Sm.upf
Sn 118.71 Sn.upf
Te 127.60 Te.upf
CELL_PARAMETERS angstrom
-0.9027 -4.3000 0.8214
7.4891 -0.4950 5.6391
-7.0031 4.8738 5.6558
ATOMIC_POSITIONS angstrom
K -0.4514 -2.1500 0.4107
Sm -0.4959 -0.6723 8.0971
Sm 0.0791 0.7512 4.0192
Sn 3.2932 -2.3975 3.2303
Sn -4.4277 -0.3572 5.4260
Sn 4.0110 0.4360 6.6903
Te 1.9182 1.3001 8.9139
Te 1.4819 -1.5316 5.7725
Te -2.3349 -1.2213 3.2025
Te 1.9063 -0.0879 1.6350
Te -2.3231 0.1667 10.4814
Te -1.8987 1.6104 6.3438
! **Crystal system**: monoclinic
! **Energy relative to the elements, uncorrected**: -9.11 eV/f.u.